#i
SiSbOs | Alexandria via LeMat-Bulk | PBE | relaxed; space group = P-6m2; total magnetic moment = 0.0 μB per cell
1.0
4.115 0.000 0.000
-2.058 3.564 0.000
0.000 0.000 3.861
Os Si Sb
1 1 1
Cartesian
0.000 0.000 3.217
0.000 2.376 3.217
2.058 1.188 1.287



#ii
SiSbOs | Alexandria via LeMat-Bulk | PBE | relaxed; space group = C2/m; total magnetic moment = 0.0 μB per cell
1.0
-1.801 -4.566 -4.393
0.598 -2.270 2.114
-10.564 1.314 4.401
Si Os Sb
4 4 4
Cartesian
-1.922 -2.022 -1.627
-4.862 -3.022 0.492
-6.905 -2.500 1.630
-10.443 -1.230 1.636
-8.141 -0.445 1.827
-4.224 -2.807 -1.819
-9.207 -3.285 1.439
-2.560 -2.236 0.683
-3.646 -0.658 2.686
-8.120 -4.864 -0.564
-3.138 -4.386 -3.821
-9.228 1.134 3.829



Of them, the most stable is #ii and the least stable is #i.